A geometry-optimized CsCr2CoF8 structure, computed with PBE with a Hubbard U.

Unit cell a=5.161 b=5.227 c=7.301 alpha=104.15 beta=100.22 gamma=82.04
Fractional coordinates of all 12 atoms:
F 0.183 0.712 0.782
F 0.235 0.768 0.176
F 0.418 0.292 0.484
F 0.817 0.288 0.218
F 0.582 0.708 0.516
Cr 0.462 0.470 0.259
F 0.765 0.232 0.824
Cr 0.538 0.530 0.741
F 0.708 0.769 0.962
Co 0.000 0.000 0.000
F 0.292 0.231 0.038
Cs 0.000 0.000 0.500

Results
For the uncorrected energy, the calculation gives -5.392 eV/atom. The value obtained for the spin magnetization is 10.00 μB per formula unit. The value obtained for the volume is 15.6 Å³/atom. Its density of states at the Fermi level is 0.38 states/eV/atom.